# 1
Density functional theory data (PBE) for Na2CrRhAu after structural relaxation. Values from VASP.

Calculated values
Total energy in eV per atom: -3.730
Formation energy from the elements in eV/f.u.: 4.2
Crystal system: tetragonal

Structure (Quantum ESPRESSO input):
```
&SYSTEM
  ibrav = 0, nat = 5, ntyp = 4
/
ATOMIC_SPECIES
Na 22.99 Na.upf
Cr 52.00 Cr.upf
Rh 102.91 Rh.upf
Au 196.97 Au.upf
CELL_PARAMETERS angstrom
5.451 0.000 0.000
0.000 5.451 0.000
0.000 0.000 4.432
ATOMIC_POSITIONS crystal
Na 0.000 0.500 0.000
Na 0.500 0.000 0.000
Cr 0.000 0.000 0.000
Rh 0.000 0.000 0.500
Au 0.500 0.500 0.500
```

# 2
Density functional theory data (PBE) for NaCr2RuAu after structural relaxation. Values from VASP.

Calculated values
Total energy in eV per atom: -4.481
Formation energy from the elements in eV/f.u.: 10.7
Crystal system: tetragonal

Structure (Quantum ESPRESSO input):
```
&SYSTEM
  ibrav = 0, nat = 5, ntyp = 4
/
ATOMIC_SPECIES
Na 22.99 Na.upf
Cr 52.00 Cr.upf
Ru 101.07 Ru.upf
Au 196.97 Au.upf
CELL_PARAMETERS angstrom
4.687 0.000 0.000
0.000 4.687 0.000
0.000 0.000 4.762
ATOMIC_POSITIONS crystal
Na 0.000 0.000 0.000
Cr 0.000 0.500 0.500
Cr 0.500 0.000 0.500
Ru 0.500 0.500 0.000
Au 0.000 0.000 0.500
```

# 3
Density functional theory data (PBE) for Na2CrSnAu after structural relaxation. Values from VASP.

Calculated values
Total energy in eV per atom: -3.307
Formation energy from the elements in eV/f.u.: 3.0
Crystal system: tetragonal

Structure (Quantum ESPRESSO input):
```
&SYSTEM
  ibrav = 0, nat = 5, ntyp = 4
/
ATOMIC_SPECIES
Na 22.99 Na.upf
Cr 52.00 Cr.upf
Sn 118.71 Sn.upf
Au 196.97 Au.upf
CELL_PARAMETERS angstrom
5.781 0.000 0.000
0.000 5.781 0.000
0.000 0.000 5.127
ATOMIC_POSITIONS crystal
Na 0.000 0.500 0.000
Na 0.500 0.000 0.000
Cr 0.000 0.000 0.500
Sn 0.000 0.000 0.000
Au 0.500 0.500 0.500
```

# 4
Density functional theory data (PBE) for Na2TlCrAu after structural relaxation. Values from VASP.

Calculated values
Total energy in eV per atom: -2.888
Formation energy from the elements in eV/f.u.: 3.5
Offset from the most stable computed form in kJ/mol of atoms: 32.5
Crystal system: tetragonal

Structure (Quantum ESPRESSO input):
```
&SYSTEM
  ibrav = 0, nat = 5, ntyp = 4
/
ATOMIC_SPECIES
Na 22.99 Na.upf
Tl 204.38 Tl.upf
Cr 52.00 Cr.upf
Au 196.97 Au.upf
CELL_PARAMETERS angstrom
5.560 0.000 0.000
0.000 5.560 0.000
0.000 0.000 5.330
ATOMIC_POSITIONS crystal
Na 0.000 0.500 0.000
Na 0.500 0.000 0.000
Tl 0.000 0.000 0.500
Cr 0.000 0.000 0.000
Au 0.500 0.500 0.500
```

# 5
Density functional theory data (PBE) for Na2TlCrAu after structural relaxation. Values from VASP.

Calculated values
Total energy in eV per atom: -3.225
Formation energy from the elements in eV/f.u.: 1.8
Offset from the most stable computed form in kJ/mol of atoms: 0.0
Crystal system: tetragonal

Structure (Quantum ESPRESSO input):
```
&SYSTEM
  ibrav = 0, nat = 5, ntyp = 4
/
ATOMIC_SPECIES
Na 22.99 Na.upf
Tl 204.38 Tl.upf
Cr 52.00 Cr.upf
Au 196.97 Au.upf
CELL_PARAMETERS angstrom
5.435 0.000 0.000
0.000 5.435 0.000
0.000 0.000 5.202
ATOMIC_POSITIONS crystal
Na 0.000 0.500 0.000
Na 0.500 0.000 0.000
Tl 0.000 0.000 0.500
Cr 0.500 0.500 0.500
Au 0.500 0.500 0.000
```

# 6
Density functional theory data (PBE) for NbCrAu2 after structural relaxation. Values from VASP.

Calculated values
Total energy in eV per atom: -6.089
Formation energy from the elements in eV/f.u.: 1.9
Offset from the most stable computed form in kJ/mol of atoms: 31.9
Crystal system: tetragonal

Structure (Quantum ESPRESSO input):
```
&SYSTEM
  ibrav = 0, nat = 16, ntyp = 3
/
ATOMIC_SPECIES
Nb 92.91 Nb.upf
Cr 52.00 Cr.upf
Au 196.97 Au.upf
CELL_PARAMETERS angstrom
3.836 0.000 0.000
0.000 3.836 0.000
0.000 0.000 19.725
ATOMIC_POSITIONS crystal
Nb 0.000 0.000 0.000
Nb 0.000 0.500 0.250
Nb 0.500 0.000 0.750
Nb 0.500 0.500 0.500
Cr 0.000 0.000 0.500
Cr 0.000 0.500 0.750
Cr 0.500 0.000 0.250
Cr 0.500 0.500 0.000
Au 0.244 0.250 0.625
Au 0.250 0.744 0.875
Au 0.250 0.756 0.375
Au 0.256 0.250 0.125
Au 0.744 0.750 0.125
Au 0.750 0.244 0.375
Au 0.750 0.256 0.875
Au 0.756 0.750 0.625
```